Entry 1:
Material: CsIn2As2
Method: DFT, PBE
State: optimized geometry

The structure belongs to space group P4/mmm (No. 123); the cell edges are 4.976, 4.976 and 6.143 Å and the angles 90.00°, 90.00° and 90.00°. The asymmetric unit holds Cs at (0.000, 0.000, 0.000), In at (0.000, 0.500, 0.500) and As at (0.500, 0.500, 0.209).

Its energy of formation from the pure elements is -0.154 eV per atom. Its offset from the most stable computed form is 0.83 eV/f.u. The crystal system is tetragonal. The density of states at the Fermi level is 2.97 states/eV/cell. The calculation puts the total energy at -3.2798 eV per atom. The calculation puts the theoretical density at 5.6 g/cm3.

=====

Entry 2:
Material: Tm6Sc3Cd
Method: DFT, PBE
State: optimized geometry

The structure belongs to space group Cmc2_1 (No. 36); the cell edges are 9.720, 18.768 and 6.097 Å and the angles 90.00°, 90.00° and 90.00°. The asymmetric unit holds Tm at (0.000, 0.049, 0.000), Tm at (0.000, 0.301, 0.178), Tm at (0.174, 0.467, 0.288), Tm at (0.231, 0.192, 0.981), Sc at (0.000, 0.393, 0.739), Sc at (0.173, 0.127, 0.455) and Cd at (0.000, 0.240, 0.680).

Its energy of formation from the pure elements is 0.079 eV per atom. The crystal system is orthorhombic. The density of states at the Fermi level is 54.18 states/eV/cell. The calculation puts the total energy at -4.5948 eV per atom. The calculation puts the theoretical density at 7.5 g/cm3.

=====

Entry 3:
Material: Ac15Nd4Dy
Method: DFT, PBE
State: optimized geometry

The structure belongs to space group P4/mmm (No. 123); the cell edges are 5.537, 5.537 and 27.554 Å and the angles 90.00°, 90.00° and 90.00°. The asymmetric unit holds Ac at (0.000, 0.000, 0.000), Ac at (0.000, 0.000, 0.199), Ac at (0.000, 0.000, 0.400), Ac at (0.000, 0.500, 0.099), Ac at (0.000, 0.500, 0.299), Ac at (0.000, 0.500, 0.500), Nd at (0.500, 0.500, 0.199), Nd at (0.500, 0.500, 0.400) and Dy at (0.500, 0.500, 0.000).

Its energy of formation from the pure elements is 0.027 eV per atom. The crystal system is tetragonal. The density of states at the Fermi level is 33.61 states/eV/cell. The calculation puts the total energy at -4.2382 eV per atom. The calculation puts the theoretical density at 8.1 g/cm3.

=====

Entry 4:
Material: Sm4Se3S2
Method: DFT, PBE
State: optimized geometry

The structure belongs to space group Cmce (No. 64); the cell edges are 8.271, 14.379 and 7.885 Å and the angles 90.00°, 90.00° and 90.00°. The asymmetric unit holds Sm at (0.000, 0.209, 0.033), Sm at (0.250, 0.000, 0.250), Se at (0.000, 0.000, 0.000), Se at (0.250, 0.201, 0.750) and S at (0.000, 0.109, 0.376).

The calculation puts the formation energy without anion corrections at -1770 meV/atom. Its offset from the most stable computed form is 0.49 eV/f.u. The crystal system is orthorhombic. The density of states at the Fermi level is 14.90 states/eV/cell. The calculation puts the total energy at -5.9461 eV per atom. The calculation puts the theoretical density at 6.4 g/cm3.

=====

- Look up the theoretical density of the third one.
  8.1 g/cm3